Computed, not measured: crystalline TcHgAs2 at its relaxed geometry at the PBE-GGA level of DFT.

a b c (Å): 4.3099 4.3099 7.7034
angles (deg): 90.00 90.00 90.00
Last column: nearest neighbours and their distance in Å.
Space group I4/mmm (No. 139)
One atom of each set of equivalent atoms:
Tc 0.0000 0.0000 0.0000 (multiplicity 2)  8 As 2.89, 4 Hg 3.05
Hg 0.0000 0.0000 0.5000 (multiplicity 2)  8 As 2.89, 4 Tc 3.05
As 0.0000 0.5000 0.2500 (multiplicity 4)  4 Hg 2.89, 4 Tc 2.89, 4 As 3.05

Raw total energy ... -35.9 eV for the cell shown

Computed, not measured: crystalline TcHgAs2 at its relaxed geometry at the PBE-GGA level of DFT.

a b c (Å): 6.0659 6.0659 11.1414
angles (deg): 90.00 90.00 90.00
Last column: nearest neighbours and their distance in Å.
Space group I-42d (No. 122)
One atom of each set of equivalent atoms:
Tc 0.0000 0.0000 0.0000 (multiplicity 4)  4 As 2.37
Hg 0.0000 0.0000 0.5000 (multiplicity 4)  4 As 2.77
As 0.1940 0.2500 0.1250 (multiplicity 8)  2 Tc 2.37

Raw total energy ... -75.5 eV for the cell shown

Computed, not measured: crystalline TcHgAs2 at its relaxed geometry at the PBE-GGA level of DFT.

a b c (Å): 5.4206 3.0993 10.1815
angles (deg): 90.00 94.67 90.00
Last column: nearest neighbours and their distance in Å.
Space group C2/m (No. 12)
One atom of each set of equivalent atoms:
Tc 0.0000 0.0000 0.0000 (multiplicity 2)  6 As 2.55-2.56
Hg 0.0000 0.5000 0.5000 (multiplicity 2)  6 Hg 3.10-3.12
As 0.1943 0.5000 0.1783 (multiplicity 4)  3 Tc 2.55-2.56

Raw total energy ... -40.4 eV for the cell shown

Computed, not measured: crystalline TlTcHg2As at its relaxed geometry at the PBE-GGA level of DFT.

a b c (Å): 5.4347 5.4347 4.7394
angles (deg): 90.00 90.00 90.00
Last column: nearest neighbours and their distance in Å.
Space group P4/mmm (No. 123)
One atom of each set of equivalent atoms:
Tl 0.0000 0.0000 0.0000 (multiplicity 1)  8 Hg 3.61, 4 Tc 3.84
Tc 0.5000 0.5000 0.0000 (multiplicity 1)  2 As 2.37
Hg 0.0000 0.5000 0.5000 (multiplicity 2)  2 As 2.72
As 0.5000 0.5000 0.5000 (multiplicity 1)  2 Tc 2.37

Raw total energy ... -14.7 eV for the cell shown

Repeat the first record exactly.
Computed, not measured: crystalline TcHgAs2 at its relaxed geometry at the PBE-GGA level of DFT.

a b c (Å): 4.3099 4.3099 7.7034
angles (deg): 90.00 90.00 90.00
Last column: nearest neighbours and their distance in Å.
Space group I4/mmm (No. 139)
One atom of each set of equivalent atoms:
Tc 0.0000 0.0000 0.0000 (multiplicity 2)  8 As 2.89, 4 Hg 3.05
Hg 0.0000 0.0000 0.5000 (multiplicity 2)  8 As 2.89, 4 Tc 3.05
As 0.0000 0.5000 0.2500 (multiplicity 4)  4 Hg 2.89, 4 Tc 2.89, 4 As 3.05

Raw total energy ... -35.9 eV for the cell shown

Please write out number 4 again, unchanged.
Computed, not measured: crystalline TlTcHg2As at its relaxed geometry at the PBE-GGA level of DFT.

a b c (Å): 5.4347 5.4347 4.7394
angles (deg): 90.00 90.00 90.00
Last column: nearest neighbours and their distance in Å.
Space group P4/mmm (No. 123)
One atom of each set of equivalent atoms:
Tl 0.0000 0.0000 0.0000 (multiplicity 1)  8 Hg 3.61, 4 Tc 3.84
Tc 0.5000 0.5000 0.0000 (multiplicity 1)  2 As 2.37
Hg 0.0000 0.5000 0.5000 (multiplicity 2)  2 As 2.72
As 0.5000 0.5000 0.5000 (multiplicity 1)  2 Tc 2.37

Raw total energy ... -14.7 eV for the cell shown